w:
MnIn2Re: relaxed, GGA-PBE.

a b c (Å): 4.142 4.142 4.116
angles (deg): 90.00 90.00 90.00
Element x y z (fractional)
Mn (0.000, 0.000, 0.000)
In (0.000, 0.500, 0.500)
In (0.500, 0.000, 0.500)
Re (0.500, 0.500, 0.000)

Properties
* space group: P4/mmm
* density: 11.07 g cm⁻³

***

x:
MnIn2Re: relaxed, GGA-PBE.

a b c (Å): 2.857 4.220 5.872
angles (deg): 90.00 90.00 90.00
Element x y z (fractional)
Mn (0.000, 0.000, 0.000)
In (0.500, 0.500, 0.252)
In (0.500, 0.500, 0.748)
Re (0.000, 0.000, 0.500)

Properties
* space group: Pmmm
* density: 11.04 g cm⁻³

***

Least stable = w

***

w:
B5C7: relaxed, GGA-PBE.

a b c (Å): 6.290 6.290 5.275
angles (deg): 102.28 102.28 22.79
Element x y z (fractional)
B (0.000, 0.000, 0.000)
B (0.006, 0.006, 0.503)
B (0.338, 0.338, 0.172)
B (0.346, 0.346, 0.672)
B (0.734, 0.734, 0.620)
C (0.091, 0.091, 0.801)
C (0.092, 0.092, 0.295)
C (0.415, 0.415, 0.963)
C (0.416, 0.416, 0.455)
C (0.663, 0.663, 0.318)
C (0.663, 0.663, 0.847)
C (0.737, 0.737, 0.119)

Properties
* space group: Cm
* density: 2.91 g cm⁻³

***

x:
B5C7: relaxed, GGA-PBE.

a b c (Å): 3.841 2.613 8.159
angles (deg): 90.00 91.74 90.00
Element x y z (fractional)
B (0.000, 0.000, 0.000)
B (0.093, 0.000, 0.293)
B (0.372, 0.000, 0.756)
B (0.509, 0.500, 0.087)
B (0.803, 0.500, 0.334)
C (0.059, 0.000, 0.628)
C (0.320, 0.000, 0.477)
C (0.321, 0.000, 0.132)
C (0.550, 0.500, 0.477)
C (0.589, 0.500, 0.789)
C (0.810, 0.500, 0.949)
C (0.830, 0.500, 0.628)

Properties
* space group: Pm
* density: 2.80 g cm⁻³

***

Least stable = w

***

w:
CaY2Tc: relaxed, GGA-PBE.

a b c (Å): 5.438 5.438 5.438
angles (deg): 131.63 117.12 83.10
Element x y z (fractional)
Ca (0.000, 0.000, 0.000)
Y (0.285, 0.785, 0.500)
Y (0.715, 0.215, 0.500)
Tc (0.500, 0.500, 0.000)

Properties
* space group: Immm
* density: 5.10 g cm⁻³

***

x:
CaY2Tc: relaxed, GGA-PBE.

a b c (Å): 6.745 6.745 6.745
angles (deg): 149.44 134.64 55.68
Element x y z (fractional)
Ca (0.000, 0.000, 0.000)
Y (0.381, 0.381, 0.000)
Y (0.696, 0.196, 0.500)
Tc (0.205, 0.705, 0.500)

Properties
* space group: Imm2
* density: 4.76 g cm⁻³

***

Least stable = x